(1)
Compound: BeCu3P
Source: the Alexandria database
Functional: PBEsol
Structure: relaxed

The structure belongs to space group Pm-3m (No. 221); the cell edges are 3.981, 3.981 and 3.981 Å and the angles 90.00°, 90.00° and 90.00°. The asymmetric unit holds Be at (0.000, 0.000, 0.000), Cu at (0.000, 0.000, 0.500) and P at (0.500, 0.500, 0.500).

Its formation energy is 0.596 eV per atom. Its total energy is -3.96 eV/atom. The volume is 63.1 Å³/cell.



(2)
Compound: Be2CuPd
Source: the Alexandria database
Functional: PBEsol
Structure: relaxed

The structure belongs to space group I-42d (No. 122); the cell edges are 5.999, 5.999 and 4.990 Å and the angles 90.00°, 90.00° and 90.00°. The asymmetric unit holds Be at (0.241, 0.750, 0.125), Cu at (0.000, 0.000, 0.000) and Pd at (0.000, 0.000, 0.500).

Its formation energy is 0.039 eV per atom. Its total energy is -4.53 eV/atom. The volume is 179.6 Å³/cell.



(3)
Compound: Be2CuPt
Source: the Alexandria database
Functional: PBEsol
Structure: relaxed

The structure belongs to space group Amm2 (No. 38); the cell edges are 3.675, 2.661 and 8.636 Å and the angles 90.00°, 90.00° and 90.00°. The asymmetric unit holds Be at (0.000, 0.000, 0.000), Be at (0.500, 0.000, 0.148), Cu at (0.500, 0.000, 0.420) and Pt at (0.000, 0.000, 0.731).

Its formation energy is -0.398 eV per atom. The value obtained for the offset from the most stable computed form is 81 meV per atom. Its total energy is -5.22 eV/atom. The volume is 84.4 Å³/cell.



(4)
Compound: Be2CuPt
Source: the Alexandria database
Functional: PBEsol
Structure: relaxed

The structure belongs to space group P4/mmm (No. 123); the cell edges are 3.932, 3.932 and 2.713 Å and the angles 90.00°, 90.00° and 90.00°. The asymmetric unit holds Be at (0.000, 0.500, 0.000), Cu at (0.000, 0.000, 0.500) and Pt at (0.500, 0.500, 0.500).

Its formation energy is -0.446 eV per atom. The value obtained for the offset from the most stable computed form is 33 meV per atom. Its total energy is -5.27 eV/atom. The volume is 41.9 Å³/cell.